No. 1
Here is a relaxed structure of BeCu2B2Pt5 from Alexandria via LeMat-Bulk. Energies are from GGA-PBE.

Unit cell a=2.7560 b=9.5243 c=9.5243 alpha=90.00 beta=90.00 gamma=90.00
Closest atoms and distances in Å follow each position.
Element x y z (fractional)
1 Pt 0.5000 0.0398 0.7898  2 B 2.21, 2 Be 2.46
2 Pt 0.5000 0.0000 0.5000  4 B 2.31
3 Pt 0.5000 0.7102 0.4602  2 B 2.21, 2 Be 2.46
4 Pt 0.5000 0.2898 0.5398  2 B 2.21, 2 Be 2.46
5 Pt 0.5000 0.5398 0.7102  2 B 2.21, 2 Be 2.46
6 Pt 0.5000 0.7898 0.9602  2 B 2.21, 2 Be 2.46
7 Pt 0.5000 0.5000 0.0000  4 B 2.31
8 Pt 0.5000 0.9602 0.2102  2 B 2.21, 2 Be 2.46
9 Pt 0.5000 0.4602 0.2898  2 B 2.21, 2 Be 2.46
10 Pt 0.5000 0.2102 0.0398  2 B 2.21, 2 Be 2.46
11 Cu 0.0000 0.8034 0.6966  1 B 2.23
12 Cu 0.0000 0.1966 0.3034  1 B 2.23
13 Cu 0.0000 0.6966 0.1966  1 B 2.23
14 Cu 0.0000 0.3034 0.8034  1 B 2.23
15 Be 0.0000 0.5000 0.5000  8 Pt 2.46
16 Be 0.0000 0.0000 0.0000  8 Pt 2.46
17 B 0.0000 0.3623 0.1377  6 Pt 2.21-2.31, 1 Cu 2.23
18 B 0.0000 0.8623 0.3623  6 Pt 2.21-2.31, 1 Cu 2.23
19 B 0.0000 0.6377 0.8623  6 Pt 2.21-2.31, 1 Cu 2.23
20 B 0.0000 0.1377 0.6377  6 Pt 2.21-2.31, 1 Cu 2.23

**D(E_F)**: 0.284 states/eV/atom
**ΔH_f (0 K)**: -0.289 eV/atom
**M_tot**: 0.0 μB per cell

No. 2
Here is a relaxed structure of GdTm2Sb from Alexandria via LeMat-Bulk. Energies are from GGA-PBE.

Unit cell a=5.3451 b=5.3451 c=5.3456 alpha=60.00 beta=60.00 gamma=60.00
Closest atoms and distances in Å follow each position.
Element x y z (fractional)
1 Tm 0.7500 0.7500 0.7499  4 Sb 3.27, 4 Gd 3.27
2 Tm 0.2500 0.2500 0.2501  4 Sb 3.27, 4 Gd 3.27
3 Gd 0.0000 0.0000 0.0000  8 Tm 3.27
4 Sb 0.5000 0.5000 0.5000  8 Tm 3.27

**D(E_F)**: 1.634 states/eV/atom
**Formation energy (no corrections)**: -0.244 eV per atom
**M_tot**: 7.7 μB per cell

No. 3
Here is a relaxed structure of Dy3Ag4Hg2 from Alexandria via LeMat-Bulk. Energies are from GGA-PBE.

Unit cell a=4.8033 b=5.9029 c=9.1199 alpha=117.09 beta=90.00 gamma=114.01
Closest atoms and distances in Å follow each position.
Element x y z (fractional)
1 Ag 0.7283 0.4566 0.0587  2 Ag 2.76, 1 Hg 2.83
2 Ag 0.0519 0.1039 0.3888  1 Ag 2.76, 2 Hg 2.81
3 Ag 0.2717 0.5434 0.9413  2 Ag 2.76, 1 Hg 2.83
4 Ag 0.9481 0.8961 0.6112  1 Ag 2.76, 2 Hg 2.81
5 Hg 0.3867 0.7735 0.7218  3 Ag 2.81-2.83
6 Hg 0.6133 0.2265 0.2782  3 Ag 2.81-2.83
7 Dy 0.0000 0.0000 0.0000  8 Ag 3.23-3.30, 4 Hg 3.26, 2 Dy 3.36
8 Dy 0.3348 0.6696 0.3316  8 Ag 3.21-3.34, 4 Hg 3.25-3.32, 2 Dy 3.35-3.36
9 Dy 0.6652 0.3304 0.6684  8 Ag 3.21-3.34, 4 Hg 3.25-3.32, 2 Dy 3.35-3.36

**D(E_F)**: 0.620 states/eV/atom
**ΔH_f (0 K)**: -0.317 eV/atom
**M_tot**: 0.0 μB per cell

No. 4
Here is a relaxed structure of CsAcTeSe from Alexandria via LeMat-Bulk. Energies are from GGA-PBE.

Unit cell a=4.7348 b=4.7352 c=9.3023 alpha=90.02 beta=104.73 gamma=120.00
Closest atoms and distances in Å follow each position.
Element x y z (fractional)
1 Ac 0.2934 0.5445 0.8533  3 Se 3.16, 3 Te 3.35
2 Se 0.5084 0.1519 0.6758  3 Ac 3.16
3 Cs 0.9704 0.3836 0.3689  3 Te 3.80, 3 Se 3.86-3.87
4 Te 0.1056 0.9508 0.0716  3 Ac 3.35

**D(E_F)**: 0.000 states/eV/atom
**Formation energy (no corrections)**: -1.624 eV per atom
**M_tot**: 0.0 μB per cell

No. 5
Here is a relaxed structure of NbRh3Br from Alexandria via LeMat-Bulk. Energies are from GGA-PBE.

Unit cell a=4.5681 b=4.5681 c=4.5681 alpha=90.00 beta=90.00 gamma=90.00
Closest atoms and distances in Å follow each position.
Element x y z (fractional)
1 Rh 0.0000 0.5000 0.0000  2 Br 2.28
2 Rh 0.0000 0.0000 0.5000  2 Br 2.28
3 Rh 0.5000 0.0000 0.0000  2 Br 2.28
4 Nb 0.5000 0.5000 0.5000  12 Rh 3.23
5 Br 0.0000 0.0000 0.0000  6 Rh 2.28

**D(E_F)**: 1.215 states/eV/atom
**Formation energy (no corrections)**: 1.108 eV per atom
**M_tot**: 1.8 μB per cell

No. 6
Here is a relaxed structure of IrC3 from Alexandria via LeMat-Bulk. Energies are from GGA-PBE.

Unit cell a=2.5858 b=2.7917 c=4.9214 alpha=90.00 beta=90.00 gamma=90.00
Closest atoms and distances in Å follow each position.
Element x y z (fractional)
1 Ir 0.0000 0.5000 0.7164  6 C 2.17-2.22
2 C 0.5000 0.0000 0.2234  3 C 1.44-1.47
3 C 0.0000 0.0000 0.3662  2 C 1.47
4 C 0.5000 0.0000 0.9300  1 C 1.44

**D(E_F)**: 0.338 states/eV/atom
**ΔH_f (0 K)**: 0.778 eV/atom
**M_tot**: 0.0 μB per cell

No. 7
Here is a relaxed structure of DyPuTcAg from Alexandria via LeMat-Bulk. Energies are from GGA-PBE.

Unit cell a=4.9638 b=4.9638 c=4.9638 alpha=60.00 beta=60.00 gamma=60.00
Closest atoms and distances in Å follow each position.
Element x y z (fractional)
1 Pu 0.0000 0.0000 0.0000  4 Ag 3.04, 4 Tc 3.04
2 Dy 0.5000 0.5000 0.5000  4 Tc 3.04, 4 Ag 3.04
3 Ag 0.7500 0.7500 0.7500  4 Dy 3.04, 4 Pu 3.04
4 Tc 0.2500 0.2500 0.2500  4 Pu 3.04, 4 Dy 3.04

**D(E_F)**: 2.317 states/eV/atom
**ΔH_f (0 K)**: 0.063 eV/atom
**M_tot**: 4.6 μB per cell

No. 8
Here is a relaxed structure of Ta3Be8Re from Alexandria via LeMat-Bulk. Energies are from GGA-PBE.

Unit cell a=4.5416 b=4.5416 c=7.4579 alpha=90.00 beta=90.00 gamma=120.00
Closest atoms and distances in Å follow each position.
Element x y z (fractional)
1 Be 0.5036 0.0071 0.7464  6 Be 2.22-2.32
2 Be 0.1621 0.8379 0.2528  6 Be 2.21-2.33
3 Be 0.1621 0.3242 0.2528  6 Be 2.21-2.33
4 Be 0.5036 0.4964 0.7464  6 Be 2.22-2.32
5 Be 0.6758 0.8379 0.2528  6 Be 2.21-2.33
6 Be 0.3333 0.6667 0.0007  6 Be 2.31-2.32
7 Be 0.3333 0.6667 0.5009  6 Be 2.27-2.29
8 Be 0.9929 0.4964 0.7464  6 Be 2.22-2.32
9 Ta 0.6667 0.3333 0.0672  12 Be 2.66-2.71, 4 Ta 2.79-2.82
10 Ta 0.6667 0.3333 0.4409  12 Be 2.61-2.67, 3 Re 2.78, 1 Ta 2.79
11 Ta 0.0000 0.0000 0.9284  12 Be 2.65-2.73, 1 Re 2.72, 3 Ta 2.82
12 Re 0.0000 0.0000 0.5643  12 Be 2.65-2.66, 4 Ta 2.72-2.78

**D(E_F)**: 0.493 states/eV/atom
**ΔH_f (0 K)**: -0.309 eV/atom
**M_tot**: 0.0 μB per cell

No. 9
Here is a relaxed structure of CsCdAu2 from Alexandria via LeMat-Bulk. Energies are from GGA-PBE.

Unit cell a=4.9005 b=4.9005 c=7.0627 alpha=69.70 beta=69.70 gamma=60.00
Closest atoms and distances in Å follow each position.
Element x y z (fractional)
1 Au 0.9987 0.9987 0.0039  3 Au 2.84, 3 Cd 2.85
2 Au 0.3177 0.3177 0.0469  3 Au 2.84, 3 Cd 2.90
3 Cd 0.6831 0.6831 0.9507  6 Au 2.85-2.90
4 Cs 0.5005 0.5005 0.4986  1 Cd 3.55, 1 Au 3.55

**D(E_F)**: 0.350 states/eV/atom
**ΔH_f (0 K)**: -0.257 eV/atom
**M_tot**: 0.0 μB per cell

No. 10
Here is a relaxed structure of Ca2Sb2S from Alexandria via LeMat-Bulk. Energies are from GGA-PBE.

Unit cell a=7.6365 b=7.6365 c=4.9809 alpha=90.00 beta=90.00 gamma=90.00
Closest atoms and distances in Å follow each position.
Element x y z (fractional)
1 Sb 0.8734 0.3734 0.5000  1 Sb 2.73
2 Sb 0.6266 0.8734 0.5000  1 Sb 2.73
3 Sb 0.1266 0.6266 0.5000  1 Sb 2.73
4 Sb 0.3734 0.1266 0.5000  1 Sb 2.73
5 Ca 0.8186 0.6814 0.0000  2 S 2.80
6 Ca 0.3186 0.8186 0.0000  2 S 2.80
7 Ca 0.1814 0.3186 0.0000  2 S 2.80
8 Ca 0.6814 0.1814 0.0000  2 S 2.80
9 S 0.5000 0.5000 0.0000  4 Ca 2.80
10 S 0.0000 0.0000 0.0000  4 Ca 2.80

**D(E_F)**: 0.279 states/eV/atom
**Formation energy (no corrections)**: -0.897 eV per atom
**M_tot**: 0.0 μB per cell

No. 11
Here is a relaxed structure of BaEr4 from Alexandria via LeMat-Bulk. Energies are from GGA-PBE.

Unit cell a=5.6510 b=5.6510 c=5.6510 alpha=90.00 beta=90.00 gamma=90.00
Closest atoms and distances in Å follow each position.
Element x y z (fractional)
1 Er 0.5000 0.5000 0.0000  2 Ba 2.83
2 Er 0.5000 0.0000 0.5000  2 Ba 2.83
3 Er 0.0000 0.0000 0.0000  12 Er 4.00
4 Er 0.0000 0.5000 0.5000  2 Ba 2.83
5 Ba 0.5000 0.5000 0.5000  6 Er 2.83

**D(E_F)**: 1.344 states/eV/atom
**ΔH_f (0 K)**: 0.988 eV/atom
**M_tot**: 0.0 μB per cell

No. 12
Here is a relaxed structure of TbV2C from Alexandria via LeMat-Bulk. Energies are from GGA-PBE.

Unit cell a=2.9743 b=2.9743 c=6.4815 alpha=90.00 beta=90.00 gamma=90.00
Closest atoms and distances in Å follow each position.
Element x y z (fractional)
1 V 0.0000 0.0000 0.1525  1 V 1.98
2 V 0.0000 0.0000 0.8475  1 V 1.98
3 C 0.5000 0.5000 0.0000  8 V 2.32
4 Tb 0.5000 0.5000 0.5000  4 Tb 2.97, 8 V 3.08, 2 C 3.24

**D(E_F)**: 0.467 states/eV/atom
**ΔH_f (0 K)**: 0.388 eV/atom
**M_tot**: 0.0 μB per cell

No. 13
Here is a relaxed structure of TePd3 from Alexandria via LeMat-Bulk. Energies are from GGA-PBE.

Unit cell a=5.2486 b=7.8151 c=7.8151 alpha=83.53 beta=70.38 gamma=70.38
Closest atoms and distances in Å follow each position.
Element x y z (fractional)
1 Pd 0.1784 0.0370 0.1852  2 Te 2.65-2.67, 4 Pd 2.78-2.96
2 Pd 0.9533 0.9588 0.5961  3 Te 2.66-2.74, 3 Pd 2.82-2.96
3 Pd 0.1147 0.3897 0.3327  4 Te 2.74-2.82, 5 Pd 2.94-3.05
4 Pd 0.4506 0.5961 0.0412  3 Te 2.66-2.74, 3 Pd 2.82-2.96
5 Pd 0.4006 0.9630 0.8148  2 Te 2.65-2.67, 4 Pd 2.78-2.96
6 Pd 0.6364 0.1852 0.9630  2 Te 2.65-2.67, 4 Pd 2.78-2.96
7 Pd 0.7846 0.8148 0.0370  2 Te 2.65-2.67, 4 Pd 2.78-2.96
8 Pd 0.8372 0.6103 0.6673  4 Te 2.74-2.82, 5 Pd 2.94-3.05
9 Pd 0.5526 0.3327 0.6103  4 Te 2.74-2.82, 5 Pd 2.94-3.05
10 Pd 0.4955 0.6673 0.3897  4 Te 2.74-2.82, 5 Pd 2.94-3.05
11 Pd 0.5082 0.0412 0.4039  3 Te 2.66-2.74, 3 Pd 2.82-2.96
12 Pd 0.0878 0.4039 0.9588  3 Te 2.66-2.74, 3 Pd 2.82-2.96
13 Te 0.9873 0.7598 0.3169  9 Pd 2.65-2.82
14 Te 0.0640 0.2402 0.6831  9 Pd 2.65-2.82
15 Te 0.2529 0.6831 0.7598  9 Pd 2.65-2.82
16 Te 0.6958 0.3169 0.2402  9 Pd 2.65-2.82

**D(E_F)**: 0.395 states/eV/atom
**Formation energy (no corrections)**: -0.236 eV per atom
**M_tot**: 0.0 μB per cell

No. 14
Here is a relaxed structure of KRb2BI6 from Alexandria via LeMat-Bulk. Energies are from GGA-PBE.

Unit cell a=9.1818 b=9.1818 c=8.5138 alpha=57.37 beta=57.37 gamma=90.00
Closest atoms and distances in Å follow each position.
Element x y z (fractional)
1 I 0.7435 0.2565 0.0000  1 B 3.16, 1 K 3.33
2 I 0.6900 0.6900 0.6199  1 B 2.09
3 I 0.3100 0.3100 0.3801  1 B 2.09
4 I 0.2565 0.7435 0.0000  1 B 3.16, 1 K 3.33
5 I 0.2565 0.2565 0.0000  1 B 3.16, 1 K 3.33
6 I 0.7435 0.7435 0.0000  1 B 3.16, 1 K 3.33
7 K 0.0000 0.0000 0.0000  6 I 3.33-3.41
8 Rb 0.7500 0.2500 0.5000  12 I 4.26-4.64
9 Rb 0.2500 0.7500 0.5000  12 I 4.26-4.64
10 B 0.5000 0.5000 0.0000  2 I 2.09

**D(E_F)**: 0.000 states/eV/atom
**Formation energy (no corrections)**: -0.582 eV per atom
**M_tot**: 0.0 μB per cell

No. 15
Here is a relaxed structure of Sm3Si4Au2 from Alexandria via LeMat-Bulk. Energies are from GGA-PBE.

Unit cell a=4.2388 b=5.9006 c=8.3349 alpha=100.58 beta=90.00 gamma=111.05
Closest atoms and distances in Å follow each position.
Element x y z (fractional)
1 Au 0.6138 0.2276 0.2807  3 Si 2.44-2.45
2 Au 0.3862 0.7724 0.7193  3 Si 2.44-2.45
3 Sm 0.3373 0.6746 0.3283  8 Si 3.12-3.26, 4 Au 3.15-3.21
4 Sm 0.0000 0.0000 0.0000  8 Si 3.16-3.21, 4 Au 3.22
5 Sm 0.6627 0.3254 0.6717  8 Si 3.12-3.26, 4 Au 3.15-3.21
6 Si 0.2764 0.5528 0.9469  2 Si 2.41, 1 Au 2.44
7 Si 0.9457 0.8914 0.6083  1 Si 2.35, 2 Au 2.45
8 Si 0.0543 0.1086 0.3917  1 Si 2.35, 2 Au 2.45
9 Si 0.7236 0.4472 0.0531  2 Si 2.41, 1 Au 2.44

**D(E_F)**: 0.514 states/eV/atom
**Formation energy (no corrections)**: -0.808 eV per atom
**M_tot**: 0.0 μB per cell

No. 16
Here is a relaxed structure of Li5NdCd6 from Alexandria via LeMat-Bulk. Energies are from GGA-PBE.

Unit cell a=4.8803 b=7.6487 c=7.1033 alpha=90.00 beta=90.00 gamma=71.31
Closest atoms and distances in Å follow each position.
Element x y z (fractional)
1 Nd 0.0000 0.0000 0.0000  8 Cd 3.15-3.20, 4 Li 3.47-3.49
2 Cd 0.8254 0.3508 0.7260  7 Li 2.89-3.13, 1 Nd 3.20, 1 Cd 3.21
3 Cd 0.5000 0.0000 0.2795  4 Li 2.78-2.90
4 Cd 0.8254 0.3508 0.2740  7 Li 2.89-3.13, 1 Nd 3.20, 1 Cd 3.21
5 Cd 0.1746 0.6492 0.2740  7 Li 2.89-3.13, 1 Nd 3.20, 1 Cd 3.21
6 Cd 0.1746 0.6492 0.7260  7 Li 2.89-3.13, 1 Nd 3.20, 1 Cd 3.21
7 Cd 0.5000 0.0000 0.7205  4 Li 2.78-2.90
8 Li 0.3303 0.3431 0.0000  8 Cd 2.95-3.18
9 Li 0.6697 0.6569 0.0000  8 Cd 2.95-3.18
10 Li 0.0000 0.0000 0.5000  8 Cd 2.90-3.01
11 Li 0.6578 0.6833 0.5000  8 Cd 2.78-2.93
12 Li 0.3422 0.3167 0.5000  8 Cd 2.78-2.93

**D(E_F)**: 0.421 states/eV/atom
**ΔH_f (0 K)**: -0.232 eV/atom
**M_tot**: 0.0 μB per cell

No. 17
Here is a relaxed structure of Ce2PuAu2 from Alexandria via LeMat-Bulk. Energies are from GGA-PBE.

Unit cell a=3.7580 b=8.3730 c=8.3730 alpha=90.00 beta=90.00 gamma=90.00
Closest atoms and distances in Å follow each position.
Element x y z (fractional)
1 Au 0.0000 0.1250 0.3750  1 Au 2.96, 6 Ce 3.05-3.15, 2 Pu 3.31
2 Au 0.0000 0.8750 0.6250  1 Au 2.96, 6 Ce 3.05-3.15, 2 Pu 3.31
3 Au 0.0000 0.6250 0.1250  1 Au 2.96, 6 Ce 3.05-3.15, 2 Pu 3.31
4 Au 0.0000 0.3750 0.8750  1 Au 2.96, 6 Ce 3.05-3.15, 2 Pu 3.31
5 Pu 0.0000 0.5000 0.5000  4 Au 3.31, 8 Ce 3.62
6 Pu 0.0000 0.0000 0.0000  4 Au 3.31, 8 Ce 3.62
7 Ce 0.5000 0.3276 0.1724  6 Au 3.05-3.15
8 Ce 0.5000 0.8276 0.3276  6 Au 3.05-3.15
9 Ce 0.5000 0.1724 0.6724  6 Au 3.05-3.15
10 Ce 0.5000 0.6724 0.8276  6 Au 3.05-3.15

**D(E_F)**: 3.203 states/eV/atom
**ΔH_f (0 K)**: -0.445 eV/atom
**M_tot**: 16.9 μB per cell

No. 18
Here is a relaxed structure of AcTc2BiO8 from Alexandria via LeMat-Bulk. Energies are from GGA-PBE.

Unit cell a=5.4497 b=5.4497 c=7.7281 alpha=69.35 beta=69.35 gamma=60.00
Closest atoms and distances in Å follow each position.
Element x y z (fractional)
1 O 0.6944 0.0843 0.8069  1 Tc 1.86
2 O 0.1686 0.1686 0.4941  1 Tc 1.82
3 O 0.3056 0.9157 0.1931  1 Tc 1.86
4 O 0.8314 0.8314 0.5059  1 Tc 1.82
5 O 0.0843 0.4144 0.8069  1 Tc 1.86
6 O 0.5856 0.3056 0.1931  1 Tc 1.86
7 O 0.4144 0.6944 0.8069  1 Tc 1.86
8 O 0.9157 0.5856 0.1931  1 Tc 1.86
9 Bi 0.0000 0.0000 0.0000  6 O 2.39
10 Tc 0.2547 0.2547 0.2359  4 O 1.82-1.86
11 Tc 0.7453 0.7453 0.7641  4 O 1.82-1.86
12 Ac 0.5000 0.5000 0.5000  6 O 2.73

**Formation energy (no corrections)**: -1.570 eV per atom
**M_tot**: 4.0 μB per cell

No. 19
Here is a relaxed structure of PmCrAsAu from Alexandria via LeMat-Bulk. Energies are from GGA-PBE.

Unit cell a=4.9421 b=4.9421 c=4.9421 alpha=60.00 beta=60.00 gamma=60.00
Closest atoms and distances in Å follow each position.
Element x y z (fractional)
1 Pm 0.7500 0.7500 0.7500  4 Au 3.03, 4 As 3.03
2 As 0.0000 0.0000 0.0000  4 Cr 3.03, 4 Pm 3.03
3 Cr 0.2500 0.2500 0.2500  4 As 3.03, 4 Au 3.03
4 Au 0.5000 0.5000 0.5000  4 Pm 3.03, 4 Cr 3.03

**D(E_F)**: 0.452 states/eV/atom
**ΔH_f (0 K)**: -0.377 eV/atom
**M_tot**: 4.8 μB per cell

No. 20
Here is a relaxed structure of RbHg3Pt from Alexandria via LeMat-Bulk. Energies are from GGA-PBE.

Unit cell a=5.3707 b=6.5097 c=10.8211 alpha=69.56 beta=89.94 gamma=114.51
Closest atoms and distances in Å follow each position.
Element x y z (fractional)
1 Hg 0.7653 0.6505 0.6426  2 Pt 2.71-2.72
2 Hg 0.8098 0.7339 0.1253  2 Pt 2.71-2.72
3 Hg 0.5273 0.1725 0.9921  1 Pt 2.84
4 Hg 0.2878 0.6924 0.3838  2 Pt 2.69
5 Hg 0.2876 0.6923 0.8839  2 Pt 2.69
6 Hg 0.0461 0.2117 0.7759  1 Pt 2.84
7 Rb 0.0815 0.2792 0.2112  1 Pt 3.25, 2 Hg 3.45-3.60
8 Rb 0.4929 0.1053 0.5565  1 Pt 3.25, 2 Hg 3.45-3.60
9 Pt 0.7876 0.6922 0.8839  6 Hg 2.69-2.84
10 Pt 0.7876 0.6920 0.3839  4 Hg 2.69-2.71

**D(E_F)**: 0.199 states/eV/atom
**ΔH_f (0 K)**: -0.166 eV/atom
**M_tot**: 0.0 μB per cell